Run P
CuAu2Br6 after structural relaxation, computed with GGA-PBE.

Computed properties:
density = 4.9 g/cm³
DOS at the Fermi energy = 10.43 states/eV per cell
magnetic moment = 0.084 μB per atom
SG = No. 15

Unit cell a=7.2537 b=10.9154 c=10.9154 alpha=72.56 beta=59.46 gamma=59.46
Closest atoms and distances in Å follow each position.
Element x y z (fractional)
Br 0.5371 0.6446 0.6409  2 Au 2.57
Au 0.8763 0.3316 0.1665  4 Br 2.57-2.60
Br 0.0371 0.6409 0.6446  2 Au 2.57
Cu 0.7500 0.8331 0.1669  4 Br 2.43-2.44
Br 0.4629 0.3554 0.3591  2 Au 2.57
Br 0.7977 0.9638 0.2873  1 Cu 2.44, 1 Au 2.60
Br 0.2977 0.2873 0.9638  1 Cu 2.44, 1 Au 2.60
Au 0.1237 0.6684 0.8335  4 Br 2.57-2.60
Br 0.3225 0.9689 0.2879  1 Cu 2.43, 1 Au 2.59
Br 0.8225 0.2879 0.9689  1 Cu 2.43, 1 Au 2.59
Br 0.7023 0.7127 0.0362  1 Cu 2.44, 1 Au 2.60
Br 0.6775 0.0311 0.7121  1 Cu 2.43, 1 Au 2.59
Br 0.1775 0.7121 0.0311  1 Cu 2.43, 1 Au 2.59
Cu 0.2500 0.1669 0.8331  4 Br 2.43-2.44
Au 0.6237 0.8335 0.6684  4 Br 2.57-2.60
Au 0.3763 0.1665 0.3316  4 Br 2.57-2.60
Br 0.2023 0.0362 0.7127  1 Cu 2.44, 1 Au 2.60
Br 0.9629 0.3591 0.3554  2 Au 2.57


Run Q
CuAu2Br6 after structural relaxation, computed with GGA-PBE.

Computed properties:
density = 5.1 g/cm³
DOS at the Fermi energy = 6.07 states/eV per cell
magnetic moment = 0.107 μB per atom
SG = No. 14

Unit cell a=6.9709 b=7.0218 c=13.0118 alpha=90.00 beta=108.10 gamma=90.00
Closest atoms and distances in Å follow each position.
Element x y z (fractional)
Br 0.3408 0.5372 0.2684  2 Au 2.56-2.60
Br 0.6709 0.2012 0.0649  1 Cu 2.43, 1 Au 2.57
Br 0.3091 0.8303 0.5887  1 Cu 2.42, 1 Au 2.58
Br 0.8408 0.9628 0.7684  2 Au 2.56-2.60
Br 0.8091 0.6697 0.0887  1 Cu 2.42, 1 Au 2.58
Cu 0.5000 0.5000 0.0000  4 Br 2.42-2.43
Br 0.1709 0.2988 0.5649  1 Cu 2.43, 1 Au 2.57
Au 0.0063 0.3642 0.1670  4 Br 2.56-2.60
Br 0.6592 0.4628 0.7316  2 Au 2.56-2.60
Br 0.3291 0.7988 0.9351  1 Cu 2.43, 1 Au 2.57
Cu 0.0000 0.0000 0.5000  4 Br 2.42-2.43
Au 0.4937 0.8642 0.3330  4 Br 2.56-2.60
Br 0.8291 0.7012 0.4351  1 Cu 2.43, 1 Au 2.57
Au 0.5063 0.1358 0.6670  4 Br 2.56-2.60
Au 0.9937 0.6358 0.8330  4 Br 2.56-2.60
Br 0.6909 0.1697 0.4113  1 Cu 2.42, 1 Au 2.58
Br 0.1592 0.0372 0.2316  2 Au 2.56-2.60
Br 0.1909 0.3303 0.9113  1 Cu 2.42, 1 Au 2.58


Looking at the structures above, run Q is most stable, and the difference to the next one is 0.015 eV/atom.